Entry 1:
# Y6Ho4Sc

A relaxed Y6Ho4Sc crystal (PBE, Alexandria via LeMat-Bulk).

The value obtained for the relative energy among the computed polymorphs is 0.1537 eV per atom. The formation energy is 0.288 eV/atom.

Cell lengths 6.4784, 6.4784, 9.6814 Å; angles 109.55, 109.55, 90.00 degrees
Last column: nearest neighbours and their distance in Å.
Positions (direct):
Ho: 0.3108 0.3108 0.2634  7 Y 3.27-3.47, 1 Ho 3.28
Ho: 0.9526 0.9526 0.2634  7 Y 3.27-3.47, 1 Ho 3.28
Ho: 0.6892 0.0474 0.7366  7 Y 3.27-3.47, 1 Ho 3.28
Ho: 0.0474 0.6892 0.7366  7 Y 3.27-3.47, 1 Ho 3.28
Y: 0.5130 0.5130 0.6550  5 Ho 3.34-3.47, 1 Sc 3.40, 1 Y 3.40
Y: 0.4870 0.8580 0.3450  5 Ho 3.34-3.47, 1 Sc 3.40, 1 Y 3.40
Y: 0.8580 0.4870 0.3450  5 Ho 3.34-3.47, 1 Sc 3.40, 1 Y 3.40
Y: 0.5000 0.0000 0.0000  2 Sc 3.24, 4 Ho 3.27
Y: 0.1420 0.1420 0.6550  5 Ho 3.34-3.47, 1 Sc 3.40, 1 Y 3.40
Y: 0.0000 0.5000 0.0000  2 Sc 3.24, 4 Ho 3.27
Sc: 0.5000 0.5000 0.0000  8 Y 3.24-3.40

Entry 2:
# Rb2TeCl4

A relaxed Rb2TeCl4 crystal (PBE, Alexandria via LeMat-Bulk).

The value obtained for the total energy is -3.123 eV per atom.

Cell lengths 6.9855, 6.9855, 6.9855 Å; angles 113.83, 113.83, 101.07 degrees
Last column: nearest neighbours and their distance in Å.
Positions (direct):
Cl: 0.2566 0.2566 0.5132  1 Te 2.63
Cl: 0.7434 0.2566 0.0000  1 Te 2.63
Cl: 0.7434 0.7434 0.4868  1 Te 2.63
Cl: 0.2566 0.7434 0.0000  1 Te 2.63
Rb: 0.2500 0.7500 0.5000  8 Cl 3.49
Rb: 0.7500 0.2500 0.5000  8 Cl 3.49
Te: 0.5000 0.5000 0.0000  4 Cl 2.63

Entry 3:
# Er4InNi2

A relaxed Er4InNi2 crystal (PBE, Alexandria via LeMat-Bulk).

The formation energy is -0.235 eV/atom.

Cell lengths 4.7217, 4.7217, 9.3122 Å; angles 75.31, 75.31, 60.00 degrees
Last column: nearest neighbours and their distance in Å.
Positions (direct):
Ni: 0.9013 0.9013 0.2960  1 In 2.64, 4 Er 2.78-2.86
Ni: 0.0987 0.0987 0.7040  1 In 2.64, 4 Er 2.78-2.86
Er: 0.2027 0.2027 0.3920  4 Ni 2.78-2.86
Er: 0.3891 0.3891 0.8327  3 Ni 2.96, 3 In 3.11
Er: 0.6109 0.6109 0.1673  3 Ni 2.96, 3 In 3.11
Er: 0.7973 0.7973 0.6080  4 Ni 2.78-2.86
In: 0.0000 0.0000 0.0000  2 Ni 2.64

Entry 4:
# Tb6SmHo2

A relaxed Tb6SmHo2 crystal (PBE, Alexandria via LeMat-Bulk).

The value obtained for the relative energy among the computed polymorphs is 0.0913 eV per atom. The formation energy is 0.107 eV/atom.

Cell lengths 6.5817, 9.5573, 9.5573 Å; angles 95.96, 80.88, 80.88 degrees
Last column: nearest neighbours and their distance in Å.
Positions (direct):
Tb: 0.0024 0.2800 0.6485  5 Tb 3.23-3.59, 1 Sm 3.29, 3 Ho 3.35-3.46
Tb: 0.4976 0.3515 0.7200  5 Tb 3.23-3.59, 1 Sm 3.29, 3 Ho 3.35-3.46
Tb: 0.2734 0.9396 0.5376  6 Tb 3.37-3.51, 2 Ho 3.48-3.63, 1 Sm 3.50
Tb: 0.7734 0.5376 0.9396  6 Tb 3.37-3.51, 2 Ho 3.48-3.63, 1 Sm 3.50
Tb: 0.1794 0.0480 0.2217  3 Tb 3.36-3.44, 2 Sm 3.40-3.68, 2 Ho 3.49-3.50
Tb: 0.6794 0.2217 0.0480  3 Tb 3.36-3.44, 2 Sm 3.40-3.68, 2 Ho 3.49-3.50
Tb: 0.7266 0.0604 0.4624  6 Tb 3.37-3.51, 2 Ho 3.48-3.63, 1 Sm 3.50
Tb: 0.2266 0.4624 0.0604  6 Tb 3.37-3.51, 2 Ho 3.48-3.63, 1 Sm 3.50
Tb: 0.5024 0.6485 0.2800  5 Tb 3.23-3.59, 1 Sm 3.29, 3 Ho 3.35-3.46
Tb: 0.8206 0.9520 0.7783  3 Tb 3.36-3.44, 2 Sm 3.40-3.68, 2 Ho 3.49-3.50
Tb: 0.9976 0.7200 0.3515  5 Tb 3.23-3.59, 1 Sm 3.29, 3 Ho 3.35-3.46
Tb: 0.3206 0.7783 0.9520  3 Tb 3.36-3.44, 2 Sm 3.40-3.68, 2 Ho 3.49-3.50
Sm: 0.2500 0.1215 0.8785  8 Tb 3.29-3.68
Sm: 0.7500 0.8785 0.1215  8 Tb 3.29-3.68
Ho: 0.3667 0.3357 0.3831  7 Tb 3.35-3.63, 3 Ho 3.36-3.56
Ho: 0.1333 0.6169 0.6643  7 Tb 3.35-3.63, 3 Ho 3.36-3.56
Ho: 0.8667 0.3831 0.3357  7 Tb 3.35-3.63, 3 Ho 3.36-3.56
Ho: 0.6333 0.6643 0.6169  7 Tb 3.35-3.63, 3 Ho 3.36-3.56

In μB per formula unit, the spin magnetization values for the records above are, in order, 0.000 0.000 0.000 0.000.